The following is a DFT calculation (meta-GGA SCAN) of a PBEsol-optimized structure of TaIn4Sb.

Total magnetization: 0.00 μB/atom
SG: F-43m
Energy relative to the elements, uncorrected: 3.63 eV per formula unit
VASP energy: -38.96 eV/atom

abc: 5.752 5.752 5.752
angles: 60.00 60.00 60.00
Atoms (fractional coordinates):
In1 0.374 0.374 0.374
In2 0.374 0.374 0.877
In3 0.877 0.374 0.374
In4 0.374 0.877 0.374
Sb1 0.750 0.750 0.750
Ta1 0.000 0.000 0.000